CuWO4 after structural relaxation. Source: Alexandria via LeMat-Bulk, functional PBE with a Hubbard U.

a b c (Å): 5.083 6.114 6.681
angles (deg): 72.67 89.91 68.30
Element x y z (fractional)
1 Cu 0.151 0.290 0.189
2 Cu 0.849 0.710 0.811
3 W 0.325 0.356 0.633
4 W 0.675 0.644 0.367
5 O 0.051 0.290 0.477
6 O 0.151 0.376 0.884
7 O 0.417 0.957 0.261
8 O 0.454 0.452 0.342
9 O 0.546 0.548 0.658
10 O 0.583 0.043 0.739
11 O 0.849 0.624 0.116
12 O 0.949 0.710 0.523

symmetry = P-1
energy = -39.8 eV per formula unit
polymorph energy (0 for the lowest one) = 0.25 kJ per mole of atoms
ρ = 5.7 g/cm3